LiCaFeC | GGA-PBE | relaxed

```
LiCaFeC
1.0
-1.6459 1.7286 -2.5788
-1.9166 -2.8620 -0.6951
-7.4384 3.2922 6.9543
Li Fe C Ca
2 2 2 2
Direct
0.2500 0.7500 0.5000 Li
0.7500 0.2500 0.5000 Li
0.2500 0.7500 0.0000 Fe
0.7500 0.2500 0.0000 Fe
0.7500 0.7500 0.9243 C
0.2500 0.2500 0.0757 C
0.7500 0.7500 0.2200 Ca
0.2500 0.2500 0.7800 Ca
```

Output
The volume is 16.52 Å³ per atom. The calculation puts the total energy at -5.409 eV/atom. The calculation puts the formation energy at -8 meV per atom.